# 1
DFT (GGA-PBE) results for FeHg3Se after structural relaxation.

```
FeHg3Se
1.0
-4.5937 -2.3427 2.0364
2.2222 0.0574 5.0790
-2.1673 5.0245 0.8915
Hg Se Fe
3 1 1
Cartesian
1.1111 0.0287 2.5395
-1.0836 2.5122 0.4457
-2.2969 -1.1714 1.0182
0.0000 0.0000 0.0000
-2.2694 1.3696 4.0034
```

Calculated values
Excess energy over the best structure of this formula in the dataset, eV per formula unit: 0.74
DFT total energy, eV per cell: -8.217
Space-group type: Pm-3m (221)

# 2
DFT (GGA-PBE) results for NaReAsSe2 after structural relaxation.

```
NaReAsSe2
1.0
4.9988 0.0000 0.0000
0.0000 4.9988 0.0000
0.0000 0.0000 4.9079
Re As Se Na
1 1 2 1
Cartesian
2.4994 2.4994 2.4540
0.0000 0.0000 2.4540
0.0000 2.4994 0.0000
2.4994 0.0000 0.0000
0.0000 0.0000 0.0000
```

Calculated values
Excess energy over the best structure of this formula in the dataset, eV per formula unit: 7.59
DFT total energy, eV per cell: -17.000
Space-group type: P4/mmm (123)

# 3
DFT (GGA-PBE) results for K4Np3SnS8 after structural relaxation.

```
K4Np3SnS8
1.0
8.2934 0.0000 0.0000
0.0000 8.7135 0.2883
-4.1467 -4.1424 5.8671
K Np Sn S
4 3 1 8
Cartesian
4.1467 0.0000 0.0000
2.0733 -2.0712 2.9335
0.0000 0.0000 0.0000
-2.0733 -2.0712 2.9335
4.1467 4.3568 0.1442
2.0733 2.2856 3.0777
-2.0733 2.2856 3.0777
0.0000 4.3568 0.1442
-1.9762 2.1294 5.8290
0.0000 4.1034 3.0336
0.0000 0.4108 3.2192
1.9762 2.1294 5.8290
2.1704 2.4418 0.3265
4.1467 4.1604 2.9363
4.1467 0.4678 3.1218
6.1229 2.4418 0.3265
```

Calculated values
DFT total energy, eV per cell: -100.590
Space-group type: R-3m (166)

# 4
DFT (GGA-PBE) results for MgZnSb2S after structural relaxation.

```
MgZnSb2S
1.0
5.3714 0.0000 0.0000
0.0000 4.5734 0.0000
0.0000 0.0000 5.3714
Mg Sb Zn S
1 2 1 1
Cartesian
2.6857 2.2867 2.6857
0.0000 0.0000 2.6857
2.6857 0.0000 0.0000
0.0000 2.2867 0.0000
0.0000 0.0000 0.0000
```

Calculated values
DFT total energy, eV per cell: -13.893
Space-group type: P4/mmm (123)

# 5
DFT (GGA-PBE) results for CuP2S6 after structural relaxation.

```
CuP2S6
1.0
-2.2436 -4.8941 4.8066
-5.6525 -0.6734 -3.3241
5.1668 -3.8184 -1.4762
Cu P S
1 2 6
Cartesian
0.0000 0.0000 0.0000
-0.2031 -6.6168 1.6858
-2.5263 -2.7691 -1.6795
-1.2098 -7.4008 0.1901
1.7014 -7.0540 1.9021
-0.9596 -5.0874 2.6624
-1.5195 -1.9851 -0.1838
-4.4308 -2.3319 -1.8958
-1.7697 -4.2985 -2.6561
```

Calculated values
DFT total energy, eV per cell: -38.620
Space-group type: P-3m1 (164)

# 6
DFT (GGA-PBE) results for La7Pr2Dy after structural relaxation.

```
La7Pr2Dy
1.0
-2.3784 4.3891 2.5927
-7.3955 -0.6475 -5.6882
0.4638 -4.5632 8.1505
La Pr Dy
7 2 1
Cartesian
-5.5117 -1.5860 -2.3712
-1.4200 -3.6246 4.8335
-1.5986 0.7784 3.3182
-7.7114 -1.5999 1.7369
-3.3722 1.6620 0.1954
-5.9379 -2.4835 4.8596
-4.6550 -0.4107 2.5275
-6.2297 0.3738 -0.2451
-3.0804 -1.1953 5.3001
0.0000 0.0000 0.0000
```

Calculated values
Excess energy over the best structure of this formula in the dataset, eV per formula unit: 4.24
DFT total energy, eV per cell: -43.178
Formation enthalpy at 0 K, eV per atom: 0.55
Space-group type: Cmmm (65)

# 7
DFT (GGA-PBE) results for Ta2TeOs after structural relaxation.

```
Ta2TeOs
1.0
-1.6977 -2.1043 1.2752
2.6363 -1.1174 -0.8589
3.5798 2.1084 8.2449
Os Ta Te
1 2 1
Cartesian
3.2668 0.0368 6.6512
3.5393 2.0846 8.1517
1.3265 -1.1060 2.1823
1.7555 1.0339 4.0432
```

Calculated values
DFT total energy, eV per cell: -36.454
Space-group type: Cmm2 (35)

# 8
DFT (GGA-PBE) results for Mg2Ga2Ag5 after structural relaxation.

```
Mg2Ga2Ag5
1.0
5.1584 0.0000 0.0000
0.0000 9.2724 0.0000
-2.5792 -4.6362 7.1125
Mg Ga Ag
4 4 10
Cartesian
-0.2722 5.2395 1.8811
2.8514 0.6033 5.2314
2.8514 0.6033 1.8811
-0.2722 5.2395 5.2314
0.0000 0.6020 0.0000
2.5792 5.2382 0.0000
0.2816 0.6056 3.5563
2.2976 5.2418 3.5563
-1.2891 2.9206 6.4470
3.8683 7.5568 0.6655
-1.2901 -1.7156 6.4470
3.8693 2.9206 0.6655
1.2885 7.5593 2.1460
1.2906 2.9231 4.9665
1.2906 2.9231 2.1460
1.2885 -1.7131 4.9665
-1.2889 2.9226 3.5563
3.8681 -1.7136 3.5563
```

Calculated values
Excess energy over the best structure of this formula in the dataset, eV per formula unit: 0.23
DFT total energy, eV per cell: -48.129
Formation enthalpy at 0 K, eV per atom: -0.06
Space-group type: Imma (74)